11
Lattice="7.4231 -4.2907 0.0000 7.4231 4.2907 0.0000 -0.0016 0.0000 7.2422" Properties=species:S:1:pos:R:3 comment="Nd3IBr7, relaxed, DFT PBE" mass_density_g_cm3=4.0 vol_a3_per_cell=461 e_form_raw_kj_per_mol_atoms=-166.6 final_energy_ha_per_atom=-0.156 pbc="T T T"
Nd 0.0000 0.0000 0.0000
Nd 11.1522 -2.1342 7.2421
Nd 11.1522 2.1342 7.2421
I 2.4888 0.0000 2.0148
Br 6.1476 2.2359 1.6244
Br 8.7203 2.2323 5.6302
Br 4.8635 0.0000 5.6344
Br 10.0103 0.0000 1.6203
Br 6.1476 -2.2359 1.6244
Br 12.3812 0.0000 5.4943
Br 8.7203 -2.2323 5.6302

***

8
Lattice="4.5502 0.0000 0.0000 0.6493 7.4136 0.0000 0.0656 3.5959 7.0491" Properties=species:S:1:pos:R:3 comment="CuHgTe2, relaxed, DFT PBE" mass_density_g_cm3=7.3 vol_a3_per_cell=238 e_form_raw_kj_per_mol_atoms=-6.2 final_energy_ha_per_atom=-0.100 pbc="T T T"
Cu 0.0000 0.0000 0.0000
Cu 0.8200 8.4701 6.3779
Hg 1.6817 2.5007 2.8075
Hg 3.7018 5.9648 3.5644
Te 1.2962 5.6158 1.8105
Te 2.2784 1.2222 0.3660
Te 3.0941 7.2497 6.0001
Te 4.0852 2.8560 4.5597

***

8
Lattice="0.0000 5.3677 3.6490 3.6493 0.0000 3.6490 3.6493 5.3677 0.0000" Properties=species:S:1:pos:R:3 comment="CaLa2ThN4, relaxed, DFT PBE" mass_density_g_cm3=7.0 vol_a3_per_cell=143 e_form_raw_kj_per_mol_atoms=-131.8 final_energy_ha_per_atom=-0.292 pbc="T T T"
Ca 0.0000 0.0000 0.0000
La 1.8246 2.6838 1.8234
La 5.4739 8.0515 5.4723
Th 3.6493 5.3677 3.6496
N 3.6493 2.9502 3.6462
N 5.4737 5.3677 5.4645
N 3.6493 7.7851 3.6462
N 1.8248 5.3677 5.4645

***

14
Lattice="5.7510 0.0000 0.0000 0.0000 9.9904 0.0000 0.0000 0.0000 3.5194" Properties=species:S:1:pos:R:3 comment="Na2UO4, relaxed, DFT PBE" mass_density_g_cm3=5.7 vol_a3_per_cell=202 e_form_raw_kj_per_mol_atoms=-253.6 final_energy_ha_per_atom=-0.274 pbc="T T T"
Na 0.3100 1.8588 0.0000
Na 2.5656 6.8540 0.0000
Na 3.1855 3.1364 0.0000
Na 5.4411 8.1316 0.0000
U 0.0000 4.9952 1.7597
U 2.8755 0.0000 1.7597
O 0.8585 6.7393 1.7597
O 1.1924 4.4447 0.0000
O 1.6831 9.4399 0.0000
O 2.0170 1.7441 1.7597
O 3.7340 8.2462 1.7597
O 4.0679 0.5505 0.0000
O 4.5586 5.5457 0.0000
O 4.8925 3.2511 1.7597

***

4
Lattice="0.0000 3.7879 3.7879 3.7879 0.0000 3.7879 3.7879 3.7879 0.0000" Properties=species:S:1:pos:R:3 comment="SmGdLuAl, relaxed, DFT PBE" mass_density_g_cm3=7.8 vol_a3_per_cell=109 final_energy_ha_per_atom=-0.252 formation_energy_ev_per_fu=-0.4 pbc="T T T"
Sm 0.0000 0.0000 0.0000
Gd 3.7879 3.7879 3.7879
Lu 1.8940 1.8940 1.8940
Al 5.6819 5.6819 5.6819

***

9
Lattice="7.2444 -1.7209 0.0000 7.2444 1.7209 0.0000 -1.5782 0.0000 6.4526" Properties=species:S:1:pos:R:3 comment="K2SmZn2O4, relaxed, DFT PBE" mass_density_g_cm3=4.4 vol_a3_per_cell=161 e_form_raw_kj_per_mol_atoms=-165.0 final_energy_ha_per_atom=-0.182 pbc="T T T"
K 1.7810 0.0000 0.4601
K 11.1296 0.0000 5.9925
Sm -0.7891 0.0000 3.2263
Zn 3.8764 0.0000 2.9404
Zn 9.0343 0.0000 3.5122
O 1.2830 0.0000 4.4981
O 5.3541 0.0000 4.3859
O 7.5565 0.0000 2.0667
O 11.6276 0.0000 1.9545

***

14
Lattice="6.2813 0.0000 0.0000 -3.1406 5.4398 0.0000 0.0000 0.0000 8.0585" Properties=species:S:1:pos:R:3 comment="Rb3DyNb2O8, relaxed, DFT PBE" mass_density_g_cm3=4.4 vol_a3_per_cell=275 e_form_raw_kj_per_mol_atoms=-248.0 final_energy_ha_per_atom=-0.271 pbc="T T T"
Rb 0.0000 0.0000 0.0000
Rb 0.0000 3.6265 5.5686
Rb 3.1406 1.8132 2.4899
Dy 0.0000 0.0000 4.0292
Nb 0.0000 3.6265 2.0179
Nb 3.1406 1.8132 6.0406
O 0.0000 1.8432 2.6774
O -1.5444 4.5182 2.6774
O 0.0000 3.6265 0.1975
O 1.5963 0.9216 5.3811
O 1.5444 4.5182 2.6774
O 3.1406 1.8132 7.8610
O 4.6850 0.9216 5.3811
O 3.1406 3.5966 5.3811

***

6
Lattice="-1.9620 6.6844 3.2546 1.9620 -6.6844 3.2546 1.9620 6.6844 -3.2546" Properties=species:S:1:pos:R:3 comment="SrRu, relaxed, DFT PBE" mass_density_g_cm3=5.5 vol_a3_per_cell=171 final_energy_ha_per_atom=-0.185 formation_energy_ev_per_fu=0.9 pbc="T T T"
Sr 0.0000 0.0000 0.0000
Sr 1.9620 -2.9558 1.6549
Sr 1.9620 2.9558 1.6549
Ru 0.0000 0.0000 3.4599
Ru 0.0000 5.3748 0.9670
Ru 0.0000 7.9940 0.9670